{
  "formula": "FeCu3S",
  "functional": "PBE",
  "state": "optimized geometry",
  "lattice_angstrom": [[4.457, 0.000, 0.000], [0.000, 4.457, 0.000], [0.000, 0.000, 4.457]],
  "species": ["Fe", "Cu", "Cu", "Cu", "S"],
  "fractional_positions": [[0.000, 0.000, 0.000], [0.000, 0.000, 0.500], [0.000, 0.500, 0.000], [0.500, 0.000, 0.000], [0.500, 0.500, 0.500]],
  "sg": "No. 221",
  "e_form_raw_kcal_per_mol_atoms": 26.8,
  "relative_energy_ev_per_fu": 2.25,
  "total_energy_ev_per_cell": -19.06
}

{
  "formula": "Fe2CuS3",
  "functional": "PBE",
  "state": "optimized geometry",
  "lattice_angstrom": [[5.946, 0.000, 0.000], [0.000, 10.448, 0.000], [0.000, 0.000, 6.358]],
  "species": ["Fe", "Fe", "Fe", "Fe", "Fe", "Fe", "Fe", "Fe", "Cu", "Cu", "Cu", "Cu", "S", "S", "S", "S", "S", "S", "S", "S", "S", "S", "S", "S"],
  "fractional_positions": [[0.021, 0.091, 0.073], [0.021, 0.409, 0.073], [0.479, 0.591, 0.573], [0.479, 0.909, 0.573], [0.521, 0.091, 0.427], [0.521, 0.409, 0.427], [0.979, 0.591, 0.927], [0.979, 0.909, 0.927], [0.042, 0.750, 0.438], [0.458, 0.250, 0.938], [0.542, 0.750, 0.062], [0.958, 0.250, 0.562], [0.134, 0.576, 0.635], [0.134, 0.924, 0.635], [0.145, 0.750, 0.091], [0.355, 0.250, 0.591], [0.366, 0.076, 0.135], [0.366, 0.424, 0.135], [0.634, 0.576, 0.865], [0.634, 0.924, 0.865], [0.645, 0.750, 0.409], [0.855, 0.250, 0.909], [0.866, 0.076, 0.365], [0.866, 0.424, 0.365]],
  "sg": "No. 62",
  "e_form_raw_kcal_per_mol_atoms": -2.0,
  "relative_energy_ev_per_fu": 1.31,
  "total_energy_ev_per_cell": -135.66
}

{
  "formula": "Fe2Cu10Sb4S13",
  "functional": "PBE",
  "state": "optimized geometry",
  "lattice_angstrom": [[-5.183, 5.183, 5.195], [5.183, -5.183, 5.195], [5.183, 5.183, -5.195]],
  "species": ["Fe", "Fe", "Cu", "Cu", "Cu", "Cu", "Cu", "Cu", "Cu", "Cu", "Cu", "Cu", "Sb", "Sb", "Sb", "Sb", "S", "S", "S", "S", "S", "S", "S", "S", "S", "S", "S", "S", "S"],
  "fractional_positions": [[0.223, 0.223, 0.000], [0.777, 0.777, 0.000], [0.000, 0.222, 0.222], [0.000, 0.778, 0.778], [0.222, 0.000, 0.222], [0.250, 0.500, 0.750], [0.250, 0.750, 0.500], [0.500, 0.250, 0.750], [0.500, 0.750, 0.250], [0.750, 0.250, 0.500], [0.750, 0.500, 0.250], [0.778, 0.000, 0.778], [0.006, 0.457, 0.000], [0.457, 0.006, 0.000], [0.543, 0.543, 0.549], [0.994, 0.994, 0.451], [0.000, 0.000, 0.000], [0.001, 0.519, 0.751], [0.232, 0.481, 0.482], [0.250, 0.250, 0.771], [0.250, 0.768, 0.249], [0.479, 0.479, 0.229], [0.481, 0.232, 0.482], [0.519, 0.001, 0.751], [0.521, 0.750, 0.000], [0.750, 0.521, 0.000], [0.750, 0.999, 0.518], [0.768, 0.250, 0.249], [0.999, 0.750, 0.518]],
  "sg": "No. 121",
  "e_form_raw_kcal_per_mol_atoms": -4.7,
  "total_energy_ev_per_cell": -133.92
}

{
  "formula": "FeCuSb2S",
  "functional": "PBE",
  "state": "optimized geometry",
  "lattice_angstrom": [[4.973, 0.000, 0.000], [0.000, 4.973, 0.000], [0.000, 0.000, 4.640]],
  "species": ["Fe", "Cu", "Sb", "Sb", "S"],
  "fractional_positions": [[0.000, 0.000, 0.000], [0.000, 0.000, 0.500], [0.000, 0.500, 0.500], [0.500, 0.000, 0.500], [0.500, 0.500, 0.000]],
  "sg": "No. 123",
  "e_form_raw_kcal_per_mol_atoms": 19.1,
  "total_energy_ev_per_cell": -20.78
}

{
  "formula": "Fe2CuSbS",
  "functional": "PBE",
  "state": "optimized geometry",
  "lattice_angstrom": [[4.831, 0.000, 0.000], [0.000, 4.831, 0.000], [0.000, 0.000, 5.199]],
  "species": ["Fe", "Fe", "Cu", "Sb", "S"],
  "fractional_positions": [[0.000, 0.500, 0.000], [0.500, 0.000, 0.000], [0.000, 0.000, 0.500], [0.500, 0.500, 0.000], [0.500, 0.500, 0.500]],
  "sg": "No. 123",
  "e_form_raw_kcal_per_mol_atoms": 31.5,
  "total_energy_ev_per_cell": -22.44
}

{
  "formula": "FeCu2SeS",
  "functional": "PBE",
  "state": "optimized geometry",
  "lattice_angstrom": [[4.506, 0.000, 0.000], [0.000, 4.506, 0.000], [0.000, 0.000, 4.697]],
  "species": ["Fe", "Cu", "Cu", "Se", "S"],
  "fractional_positions": [[0.000, 0.000, 0.000], [0.000, 0.500, 0.500], [0.500, 0.000, 0.500], [0.000, 0.000, 0.500], [0.500, 0.500, 0.000]],
  "sg": "No. 123",
  "e_form_raw_kcal_per_mol_atoms": 13.1,
  "total_energy_ev_per_cell": -21.43
}

Question: Number 1 is which compound?
Answer: FeCu3S